No. 1
The following is a PBE calculation of a relaxed Dy2BeAu crystal, from Alexandria via LeMat-Bulk.

Values from the calculation:
Energy relative to the lowest polymorph listed for this composition = 0.18 eV per formula unit
Theoretical density = 10.0 g/cm3

Cell lengths 4.9925, 4.9925, 4.9925 Å; angles 60.00, 60.00, 60.00 degrees
Element x y z (fractional)
Dy  0.2500  0.2500  0.2500
Dy  0.7500  0.7500  0.7500
Be  0.0000  0.0000  0.0000
Au  0.5000  0.5000  0.5000

=====

No. 2
The following is a PBE calculation of a relaxed Hf4CoBi2 crystal, from Alexandria via LeMat-Bulk.

Values from the calculation:
Energy relative to the lowest polymorph listed for this composition = 0.00 eV per formula unit
Theoretical density = 12.5 g/cm3

Cell lengths 8.2504, 8.2504, 8.2504 Å; angles 95.63, 95.63, 143.50 degrees
Element x y z (fractional)
Hf  0.0820  0.8054  0.8873
Hf  0.1946  0.0820  0.2766
Hf  0.3054  0.5820  0.8873
Hf  0.4180  0.3054  0.7234
Hf  0.5820  0.6946  0.2766
Hf  0.6946  0.4180  0.1127
Hf  0.8054  0.9180  0.7234
Hf  0.9180  0.1946  0.1127
Co  0.2500  0.2500  0.0000
Co  0.7500  0.7500  0.0000
Bi  0.1370  0.3630  0.5000
Bi  0.3630  0.8630  0.2261
Bi  0.6370  0.1370  0.7739
Bi  0.8630  0.6370  0.5000

=====

No. 3
The following is a PBE calculation of a relaxed CdWAu2 crystal, from Alexandria via LeMat-Bulk.

Values from the calculation:
Energy relative to the lowest polymorph listed for this composition = 0.82 eV per formula unit
Theoretical density = 15.9 g/cm3

Cell lengths 5.0344, 5.0344, 2.8528 Å; angles 90.00, 90.00, 90.00 degrees
Element x y z (fractional)
Cd  0.0000  0.0000  0.0000
W  0.5000  0.5000  0.0000
Au  0.0000  0.5000  0.5000
Au  0.5000  0.0000  0.5000

=====

No. 4
The following is a PBE calculation of a relaxed ScTiGe2 crystal, from Alexandria via LeMat-Bulk.

Values from the calculation:
Energy relative to the lowest polymorph listed for this composition = 1.00 eV per formula unit
Theoretical density = 5.6 g/cm3

Cell lengths 4.6515, 4.6515, 4.6515 Å; angles 60.00, 60.00, 60.00 degrees
Element x y z (fractional)
Sc  0.0000  0.0000  0.0000
Ti  0.5000  0.5000  0.5000
Ge  0.2500  0.2500  0.2500
Ge  0.7500  0.7500  0.7500

=====

No. 5
The following is a PBE calculation of a relaxed V2Os5Ru4 crystal, from Alexandria via LeMat-Bulk.

Values from the calculation:
E_tot = -10.13 eV per atom
Theoretical density = 15.6 g/cm3

Cell lengths 3.8128, 6.0815, 7.1909 Å; angles 74.96, 74.67, 89.96 degrees
Element x y z (fractional)
V  0.0916  0.4491  0.3158
V  0.9084  0.5509  0.6842
Os  0.0000  0.0000  0.5000
Os  0.2735  0.3624  0.9530
Os  0.3606  0.8143  0.7757
Os  0.6394  0.1857  0.2243
Os  0.7265  0.6376  0.0470
Ru  0.1797  0.9082  0.1394
Ru  0.4547  0.2732  0.5902
Ru  0.5453  0.7268  0.4098
Ru  0.8203  0.0918  0.8606

=====

No. 6
The following is a PBE calculation of a relaxed RbTc2GeO8 crystal, from Alexandria via LeMat-Bulk.

Values from the calculation:
Uncorrected formation energy = -1374 meV per atom
Theoretical density = 3.5 g/cm3

Cell lengths 9.5241, 9.5241, 9.5241 Å; angles 32.89, 32.89, 32.89 degrees
Element x y z (fractional)
Rb  0.0000  0.0000  0.0000
Tc  0.2422  0.2422  0.2422
Tc  0.7578  0.7578  0.7578
Ge  0.5000  0.5000  0.5000
O  0.1038  0.4856  0.7501
O  0.2499  0.5144  0.8962
O  0.3071  0.3071  0.3071
O  0.4856  0.7501  0.1038
O  0.5144  0.8962  0.2499
O  0.6929  0.6929  0.6929
O  0.7501  0.1038  0.4856
O  0.8962  0.2499  0.5144

=====

No. 7
The following is a PBE calculation of a relaxed AgMo2Pb crystal, from Alexandria via LeMat-Bulk.

Values from the calculation:
E_tot = -6.37 eV per atom
Theoretical density = 11.4 g/cm3

Cell lengths 5.0145, 5.0145, 5.3280 Å; angles 94.55, 94.55, 33.69 degrees
Element x y z (fractional)
Ag  0.0000  0.0000  0.0000
Mo  0.2596  0.2596  0.7289
Mo  0.5001  0.5001  0.5300
Pb  0.7517  0.7517  0.2376

=====

No. 8
The following is a PBE calculation of a relaxed Mg2AgBPd crystal, from Alexandria via LeMat-Bulk.

Values from the calculation:
E_tot = -2.94 eV per atom
Theoretical density = 4.5 g/cm3

Cell lengths 4.9869, 4.9869, 4.0310 Å; angles 90.00, 90.00, 90.00 degrees
Element x y z (fractional)
Mg  0.0000  0.5000  0.0000
Mg  0.5000  0.0000  0.0000
Ag  0.0000  0.0000  0.0000
B  0.0000  0.0000  0.5000
Pd  0.5000  0.5000  0.5000

=====

No. 9
The following is a PBE calculation of a relaxed Ba3Re crystal, from Alexandria via LeMat-Bulk.

Values from the calculation:
Energy relative to the lowest polymorph listed for this composition = 1.82 eV per formula unit
Theoretical density = 5.7 g/cm3

Cell lengths 8.5900, 8.5900, 8.5900 Å; angles 154.54, 139.93, 48.08 degrees
Element x y z (fractional)
Ba  0.0000  0.0000  0.0000
Ba  0.3393  0.8393  0.5000
Ba  0.6607  0.1607  0.5000
Re  0.5000  0.5000  0.0000

=====

No. 10
The following is a PBE calculation of a relaxed Pm3IrPbCl crystal, from Alexandria via LeMat-Bulk.

Values from the calculation:
Uncorrected formation energy = -826 meV per atom
Theoretical density = 8.6 g/cm3

Cell lengths 7.5655, 4.6747, 9.7648 Å; angles 90.00, 103.36, 90.00 degrees
Element x y z (fractional)
Pm  0.0516  0.2500  0.3684
Pm  0.2122  0.2500  0.9552
Pm  0.4270  0.7500  0.6281
Pm  0.5730  0.2500  0.3719
Pm  0.7878  0.7500  0.0448
Pm  0.9484  0.7500  0.6316
Ir  0.1945  0.2500  0.6522
Ir  0.8055  0.7500  0.3478
Pb  0.2349  0.7500  0.2194
Pb  0.7651  0.2500  0.7806
Cl  0.3998  0.7500  0.9075
Cl  0.6002  0.2500  0.0925

=====

No. 11
The following is a PBE calculation of a relaxed CuPRu4 crystal, from Alexandria via LeMat-Bulk.

Values from the calculation:
E_tot = -6.92 eV per atom
Theoretical density = 8.9 g/cm3

Cell lengths 5.0786, 5.0786, 5.0786 Å; angles 60.00, 60.00, 60.00 degrees
Element x y z (fractional)
Cu  0.0000  0.0000  0.0000
P  0.7500  0.7500  0.7500
Ru  0.3752  0.3752  0.3752
Ru  0.3752  0.3752  0.8745
Ru  0.3752  0.8745  0.3752
Ru  0.8745  0.3752  0.3752

=====

No. 12
The following is a PBE calculation of a relaxed Er6Cd4Pb7 crystal, from Alexandria via LeMat-Bulk.

Values from the calculation:
E_tot = -3.42 eV per atom
Theoretical density = 9.7 g/cm3

Cell lengths 8.6317, 8.6317, 8.6317 Å; angles 109.47, 109.47, 109.47 degrees
Element x y z (fractional)
Er  0.0000  0.2949  0.2949
Er  0.0000  0.7051  0.7051
Er  0.2949  0.0000  0.2949
Er  0.2949  0.2949  0.0000
Er  0.7051  0.0000  0.7051
Er  0.7051  0.7051  0.0000
Cd  0.0000  0.0000  0.5000
Cd  0.0000  0.5000  0.0000
Cd  0.5000  0.0000  0.0000
Cd  0.5000  0.5000  0.5000
Pb  0.0000  0.0000  0.0000
Pb  0.2500  0.5000  0.7500
Pb  0.2500  0.7500  0.5000
Pb  0.5000  0.2500  0.7500
Pb  0.5000  0.7500  0.2500
Pb  0.7500  0.2500  0.5000
Pb  0.7500  0.5000  0.2500

=====

No. 13
The following is a PBE calculation of a relaxed Pm7Ga2Ge2 crystal, from Alexandria via LeMat-Bulk.

Values from the calculation:
E_tot = -4.77 eV per atom
Theoretical density = 6.7 g/cm3

Cell lengths 6.8210, 6.8210, 7.2975 Å; angles 90.00, 90.00, 107.93 degrees
Element x y z (fractional)
Pm  0.0000  0.0000  0.0000
Pm  0.0000  0.5000  0.2829
Pm  0.0000  0.5000  0.7171
Pm  0.5000  0.0000  0.2829
Pm  0.5000  0.0000  0.7171
Pm  0.5000  0.5000  0.2621
Pm  0.5000  0.5000  0.7379
Ga  0.1633  0.1633  0.5000
Ga  0.8367  0.8367  0.5000
Ge  0.2856  0.7144  0.0000
Ge  0.7144  0.2856  0.0000

=====

No. 14
The following is a PBE calculation of a relaxed BaTmNi2H8 crystal, from Alexandria via LeMat-Bulk.

Values from the calculation:
E_tot = -3.92 eV per atom
Theoretical density = 5.3 g/cm3

Cell lengths 7.1271, 7.1271, 7.1271 Å; angles 39.95, 39.95, 39.95 degrees
Element x y z (fractional)
Ba  0.0000  0.0000  0.0000
Tm  0.5000  0.5000  0.5000
Ni  0.2225  0.2225  0.2225
Ni  0.7775  0.7775  0.7775
H  0.0651  0.8383  0.4293
H  0.1617  0.5707  0.9349
H  0.2992  0.2992  0.2992
H  0.4293  0.0651  0.8383
H  0.5707  0.9349  0.1617
H  0.7008  0.7008  0.7008
H  0.8383  0.4293  0.0651
H  0.9349  0.1617  0.5707

=====

No. 15
The following is a PBE calculation of a relaxed La8Si3AsCl4 crystal, from Alexandria via LeMat-Bulk.

Values from the calculation:
Uncorrected formation energy = -1365 meV per atom
Theoretical density = 5.1 g/cm3

Cell lengths 8.5762, 8.5762, 8.5762 Å; angles 61.02, 61.02, 61.02 degrees
Element x y z (fractional)
La  0.2393  0.7463  0.7463
La  0.2440  0.2440  0.2440
La  0.2537  0.2537  0.7607
La  0.2537  0.7607  0.2537
La  0.7463  0.2393  0.7463
La  0.7463  0.7463  0.2393
La  0.7560  0.7560  0.7560
La  0.7607  0.2537  0.2537
Si  0.0000  0.0000  0.5000
Si  0.0000  0.5000  0.0000
Si  0.5000  0.0000  0.0000
As  0.5000  0.5000  0.5000
Cl  0.0000  0.0000  0.0000
Cl  0.0000  0.5000  0.5000
Cl  0.5000  0.0000  0.5000
Cl  0.5000  0.5000  0.0000

=====

No. 16
The following is a PBE calculation of a relaxed CeTcGe2Ir crystal, from Alexandria via LeMat-Bulk.

Values from the calculation:
E_tot = -7.50 eV per atom
Theoretical density = 10.3 g/cm3

Cell lengths 5.8873, 5.8873, 5.8873 Å; angles 137.21, 137.21, 62.12 degrees
Element x y z (fractional)
Ce  0.0000  0.0000  0.0000
Tc  0.7500  0.2500  0.5000
Ge  0.3719  0.3719  0.0000
Ge  0.6281  0.6281  0.0000
Ir  0.2500  0.7500  0.5000

=====

No. 17
The following is a PBE calculation of a relaxed CsLi2TcF8 crystal, from Alexandria via LeMat-Bulk.

Values from the calculation:
Uncorrected formation energy = -2413 meV per atom
Theoretical density = 3.4 g/cm3

Cell lengths 8.6725, 8.6725, 8.6725 Å; angles 35.43, 35.43, 35.43 degrees
Element x y z (fractional)
Cs  0.0000  0.0000  0.0000
Li  0.2442  0.2442  0.2442
Li  0.7558  0.7558  0.7558
Tc  0.5000  0.5000  0.5000
F  0.1454  0.7396  0.4776
F  0.2604  0.5224  0.8546
F  0.3168  0.3168  0.3168
F  0.4776  0.1454  0.7396
F  0.5224  0.8546  0.2604
F  0.6832  0.6832  0.6832
F  0.7396  0.4776  0.1454
F  0.8546  0.2604  0.5224

=====

No. 18
The following is a PBE calculation of a relaxed Na5Te2H4 crystal, from Alexandria via LeMat-Bulk.

Values from the calculation:
E_tot = -2.75 eV per atom
Theoretical density = 2.8 g/cm3

Cell lengths 6.4884, 6.4884, 6.8326 Å; angles 111.93, 111.93, 58.88 degrees
Element x y z (fractional)
Na  0.0000  0.0000  0.0000
Na  0.0542  0.5478  0.2540
Na  0.4522  0.9458  0.7460
Na  0.5478  0.0542  0.2540
Na  0.9458  0.4522  0.7460
Te  0.4464  0.4464  0.7247
Te  0.5536  0.5536  0.2753
H  0.0094  0.0094  0.4527
H  0.1873  0.1873  0.9868
H  0.8127  0.8127  0.0132
H  0.9906  0.9906  0.5473

=====

No. 19
The following is a PBE calculation of a relaxed VCuNi crystal, from Alexandria via LeMat-Bulk.

Values from the calculation:
Energy relative to the lowest polymorph listed for this composition = 0.14 eV per formula unit
Theoretical density = 8.0 g/cm3

Cell lengths 4.9550, 4.9550, 6.1593 Å; angles 103.81, 103.81, 29.48 degrees
Element x y z (fractional)
V  0.1378  0.1378  0.0189
V  0.8622  0.8622  0.9811
Cu  0.4674  0.4674  0.6814
Cu  0.5326  0.5326  0.3186
Ni  0.1968  0.1968  0.6427
Ni  0.8032  0.8032  0.3573

=====

No. 20
The following is a PBE calculation of a relaxed PuSnBi crystal, from Alexandria via LeMat-Bulk.

Values from the calculation:
Energy relative to the lowest polymorph listed for this composition = 0.00 eV per formula unit
Theoretical density = 11.4 g/cm3

Cell lengths 8.5382, 8.5382, 4.4729 Å; angles 90.00, 90.00, 149.14 degrees
Element x y z (fractional)
Pu  0.0961  0.9039  0.7500
Pu  0.9039  0.0961  0.2500
Sn  0.2519  0.7481  0.2500
Sn  0.7481  0.2519  0.7500
Bi  0.4257  0.5743  0.7500
Bi  0.5743  0.4257  0.2500

=====

No. 21
The following is a PBE calculation of a relaxed PuTi2Pd crystal, from Alexandria via LeMat-Bulk.

Values from the calculation:
Energy relative to the lowest polymorph listed for this composition = 1.19 eV per formula unit
Theoretical density = 10.2 g/cm3

Cell lengths 10.2196, 10.2196, 10.2196 Å; angles 16.19, 16.19, 16.19 degrees
Element x y z (fractional)
Pu  0.0000  0.0000  0.0000
Ti  0.0937  0.0937  0.0937
Ti  0.9063  0.9063  0.9063
Pd  0.5000  0.5000  0.5000

=====

No. 22
The following is a PBE calculation of a relaxed ScVMo2 crystal, from Alexandria via LeMat-Bulk.

Values from the calculation:
Energy relative to the lowest polymorph listed for this composition = 0.27 eV per formula unit
Theoretical density = 7.4 g/cm3

Cell lengths 4.4950, 4.4950, 4.4950 Å; angles 60.00, 60.00, 60.00 degrees
Element x y z (fractional)
Sc  0.0000  0.0000  0.0000
V  0.5000  0.5000  0.5000
Mo  0.2500  0.2500  0.2500
Mo  0.7500  0.7500  0.7500